1.
First-principles (GGA-PBEsol) data for an optimized crystal structure of ScRu2, as listed in the Alexandria database.

```
ScRu2
1.0
2.835 0.000 0.000
0.000 4.358 0.000
0.000 -2.179 3.775
Sc Ru
1 2
direct
0.000 0.000 0.000 Sc
0.500 0.333 0.667 Ru
0.500 0.667 0.333 Ru
```

Summary:
* space-group type: P6/mmm, No. 191
* VASP energy: -0.332 Ha/atom
* energy of formation from the pure elements: -0.05 eV/atom
* DOS(E_F): 3.4 states/eV/f.u.


2.
First-principles (GGA-PBEsol) data for an optimized crystal structure of NaBi2Au2, as listed in the Alexandria database.

```
NaBi2Au2
1.0
4.091 0.000 0.000
0.000 4.091 0.000
-2.045 -2.045 7.638
Au Na Bi
2 1 2
direct
0.750 0.250 0.500 Au
0.250 0.750 0.500 Au
0.000 0.000 0.000 Na
0.615 0.615 0.230 Bi
0.385 0.385 0.770 Bi
```

Summary:
* space-group type: I4/mmm, No. 139
* VASP energy: -0.133 Ha/atom
* energy of formation from the pure elements: -0.04 eV/atom
* energy relative to the lowest polymorph listed for this composition: 96.2 meV per atom
* DOS(E_F): 2.0 states/eV/f.u.


3.
First-principles (GGA-PBEsol) data for an optimized crystal structure of Fe4C, as listed in the Alexandria database.

```
Fe4C
1.0
2.692 0.000 0.000
1.346 2.331 0.000
1.346 0.777 8.110
Fe C
4 1
direct
0.794 0.794 0.618 Fe
0.378 0.378 0.866 Fe
0.622 0.622 0.134 Fe
0.206 0.206 0.382 Fe
0.000 0.000 0.000 C
```

Summary:
* space-group type: R-3m, No. 166
* VASP energy: -0.329 Ha/atom
* energy of formation from the pure elements: 0.16 eV/atom
* DOS(E_F): 3.9 states/eV/f.u.


4.
First-principles (GGA-PBEsol) data for an optimized crystal structure of Be2Ru, as listed in the Alexandria database.

```
Be2Ru
1.0
-2.357 -1.647 -1.622
1.749 0.245 -2.790
5.266 -8.657 4.495
Ru Be
4 8
direct
0.321 0.821 0.642 Ru
0.179 0.679 0.358 Ru
0.071 0.071 0.142 Ru
0.929 0.929 0.858 Ru
0.411 0.411 0.822 Be
0.589 0.589 0.178 Be
0.250 0.250 0.500 Be
0.500 0.000 0.000 Be
0.661 0.161 0.322 Be
0.000 0.500 0.000 Be
0.750 0.750 0.500 Be
0.839 0.339 0.678 Be
```

Summary:
* space-group type: I4_1/amd, No. 141
* VASP energy: -0.232 Ha/atom
* energy of formation from the pure elements: -0.27 eV/atom
* energy relative to the lowest polymorph listed for this composition: 60.4 meV per atom
* DOS(E_F): 2.1 states/eV/f.u.